First-principles (PBE) data for a relaxed structure of Ac12La5Nd2, as listed in Alexandria.

Cell and atoms, written as extended XYZ:
```
19
Lattice="6.6168 -0.0876 1.3172 1.3949 10.2901 5.0843 -0.0351 -0.4639 11.5527" Properties=species:S:1:pos:R:3 pbc="T T T"
Ac 1.2323 8.7328 14.7910
Ac 2.1110 5.5415 3.7666
Ac 1.4254 0.3850 6.8682
Ac 5.0517 6.5229 5.8479
Ac 4.3428 1.1916 9.0547
Ac 2.4069 4.3177 7.7104
Ac 5.5697 5.4209 10.2438
Ac 2.9249 3.2156 12.1063
Ac 3.6338 8.5470 8.8995
Ac 5.8656 4.1971 14.1876
Ac 6.5512 9.3536 11.0860
Ac 6.7443 1.0058 3.1632
La 3.2195 2.0201 4.0702
La 6.1028 3.0149 6.3615
La 3.3084 -0.0438 0.6586
La 1.8738 6.7237 11.5927
La 4.7571 7.7185 13.8840
Nd 0.3032 2.0802 10.0224
Nd 1.0566 7.7460 6.6145
```

Computed properties:
Mass density in g cm⁻³: 7.66
Energy relative to the lowest polymorph listed for this composition in meV/atom: 0.0
Size of the total moment in μB/atom: 0.000
Energy of formation from the pure elements in meV per atom: 95



First-principles (PBE) data for a relaxed structure of AcLaNd4, as listed in Alexandria.

Cell and atoms, written as extended XYZ:
```
6
Lattice="-4.5349 -1.3426 4.9367 0.6658 -5.6355 3.8128 1.8409 0.5117 6.5642" Properties=species:S:1:pos:R:3 pbc="T T T"
Ac 0.0000 0.0000 0.0000
Nd -2.1827 -4.2925 6.2952
Nd -1.5978 -1.2329 7.6646
Nd -1.2665 -4.0378 9.5623
Nd 0.9906 -3.3695 7.1052
La -0.5071 -1.6166 3.8284
```

Computed properties:
Mass density in g cm⁻³: 6.93
Energy relative to the lowest polymorph listed for this composition in meV/atom: 166.0
Size of the total moment in μB/atom: 0.001
Energy of formation from the pure elements in meV per atom: 208